1:
A plane-wave DFT calculation with PBE was carried out for an optimized crystal structure of CaDyCuAu.

Results
Calculated density: 8.55 g/cm³

Unit cell a=5.0296 b=5.0296 c=5.0296 alpha=60.00 beta=60.00 gamma=60.00
Positions (direct):
Au1 0.7500 0.7500 0.7500
Dy1 0.0000 0.0000 0.0000
Cu1 0.2500 0.2500 0.2500
Ca1 0.5000 0.5000 0.5000

2:
A plane-wave DFT calculation with PBE was carried out for an optimized crystal structure of CaDyCuAu.

Results
Calculated density: 8.12 g/cm³

Unit cell a=3.8577 b=4.5608 c=5.7172 alpha=90.00 beta=109.72 gamma=90.00
Positions (direct):
Cu1 0.4204 0.0000 0.8407
Au1 0.5747 0.5000 0.1494
Dy1 0.8623 0.5000 0.7246
Ca1 0.1427 0.0000 0.2853

Energies relative to the most stable structure, in kJ/mol of atoms: 1 2.5; 2 0.0.

1:
A plane-wave DFT calculation with PBE was carried out for an optimized crystal structure of CaErCuAu.

Results
Calculated density: 8.76 g/cm³

Unit cell a=5.0055 b=5.0055 c=5.0055 alpha=60.00 beta=60.00 gamma=60.00
Positions (direct):
Ca1 0.0000 0.0000 0.0000
Cu1 0.2500 0.2500 0.2500
Er1 0.5000 0.5000 0.5000
Au1 0.7500 0.7500 0.7500

2:
A plane-wave DFT calculation with PBE was carried out for an optimized crystal structure of CaErCuAu.

Results
Calculated density: 8.33 g/cm³

Unit cell a=3.8127 b=4.5680 c=5.6869 alpha=90.00 beta=109.59 gamma=90.00
Positions (direct):
Ca1 0.1431 0.0000 0.2862
Er1 0.8626 0.5000 0.7252
Cu1 0.4194 0.0000 0.8388
Au1 0.5749 0.5000 0.1499

Energies relative to the most stable structure, in kJ/mol of atoms: 1 2.9; 2 0.0.

1:
A plane-wave DFT calculation with PBE was carried out for an optimized crystal structure of CaSmCuAu.

Results
Calculated density: 8.04 g/cm³

Unit cell a=5.0887 b=5.0887 c=5.0887 alpha=60.00 beta=60.00 gamma=60.00
Positions (direct):
Au1 0.2500 0.2500 0.2500
Ca1 0.0000 0.0000 0.0000
Sm1 0.5000 0.5000 0.5000
Cu1 0.7500 0.7500 0.7500

2:
A plane-wave DFT calculation with PBE was carried out for an optimized crystal structure of CaSmCuAu.

Results
Calculated density: 7.63 g/cm³

Unit cell a=3.9599 b=4.5391 c=5.8112 alpha=90.00 beta=109.92 gamma=90.00
Positions (direct):
Au1 0.5742 0.5000 0.1483
Ca1 0.1417 0.0000 0.2833
Cu1 0.4228 0.0000 0.8457
Sm1 0.8613 0.5000 0.7227

Energies relative to the most stable structure, in kJ/mol of atoms: 1 1.6; 2 0.0.

1:
A plane-wave DFT calculation with PBE was carried out for an optimized crystal structure of Ca2DyAu.

Results
Calculated density: 6.05 g/cm³

Unit cell a=3.5625 b=3.5625 c=9.5138 alpha=90.00 beta=90.00 gamma=90.00
Positions (direct):
Ca1 0.0000 0.0000 0.8065
Ca2 0.0000 0.0000 0.1935
Au1 0.5000 0.5000 0.0000
Dy1 0.5000 0.5000 0.5000

2:
A plane-wave DFT calculation with PBE was carried out for an optimized crystal structure of Ca2DyAu.

Results
Calculated density: 5.46 g/cm³

Unit cell a=3.7294 b=3.7294 c=11.3150 alpha=80.51 beta=80.51 gamma=60.00
Positions (direct):
Ca1 0.1053 0.1053 0.6840
Ca2 0.8947 0.8947 0.3160
Dy1 0.0000 0.0000 0.0000
Au1 0.5000 0.5000 0.5000

Energies relative to the most stable structure, in kJ/mol of atoms: 1 0.0; 2 21.7.

1:
A plane-wave DFT calculation with PBE was carried out for an optimized crystal structure of CaErAu4.

Results
Calculated density: 12.92 g/cm³

Unit cell a=3.7428 b=5.2503 c=7.5121 alpha=80.12 beta=75.67 gamma=110.96
Positions (direct):
Au1 0.6572 0.9896 0.1762
Ca1 0.5013 0.4973 0.9982
Er1 0.0013 0.9972 0.4981
Au2 0.1754 0.5072 0.6593
Au3 0.8271 0.4873 0.3370
Au4 0.3454 0.0051 0.8200

2:
A plane-wave DFT calculation with PBE was carried out for an optimized crystal structure of CaErAu4.

Results
Calculated density: 11.38 g/cm³

Unit cell a=3.9676 b=9.2160 c=3.9730 alpha=90.01 beta=90.00 gamma=90.00
Positions (direct):
Au1 0.5000 0.7599 0.9998
Au2 0.5000 0.2401 0.0002
Au3 0.0000 0.7602 0.4998
Er1 0.0000 0.0000 0.0000
Au4 0.0000 0.2398 0.5002
Ca1 0.5000 0.5000 0.5000

Energies relative to the most stable structure, in kJ/mol of atoms: 1 0.0; 2 22.4.

1:
A plane-wave DFT calculation with PBE was carried out for an optimized crystal structure of CaErGaAu.

Results
Calculated density: 8.44 g/cm³

Unit cell a=5.0903 b=5.0903 c=5.0903 alpha=60.00 beta=60.00 gamma=60.00
Positions (direct):
Er1 0.5000 0.5000 0.5000
Ga1 0.2500 0.2500 0.2500
Au1 0.7500 0.7500 0.7500
Ca1 0.0000 0.0000 0.0000

2:
A plane-wave DFT calculation with PBE was carried out for an optimized crystal structure of CaErGaAu.

Results
Calculated density: 8.32 g/cm³

Unit cell a=3.6168 b=3.6168 c=7.2329 alpha=90.00 beta=90.00 gamma=90.00
Positions (direct):
Ga1 0.5000 0.5000 0.5878
Ca1 0.0000 0.0000 0.8584
Er1 0.0000 0.0000 0.3494
Au1 0.5000 0.5000 0.1323

Energies relative to the most stable structure, in kJ/mol of atoms: 1 3.4; 2 0.0.

1:
A plane-wave DFT calculation with PBE was carried out for an optimized crystal structure of CaErInAu.

Results
Calculated density: 8.58 g/cm³

Unit cell a=5.2188 b=5.2188 c=5.2188 alpha=60.00 beta=60.00 gamma=60.00
Positions (direct):
Ca1 0.2500 0.2500 0.2500
Au1 0.0000 0.0000 0.0000
In1 0.5000 0.5000 0.5000
Er1 0.7500 0.7500 0.7500

2:
A plane-wave DFT calculation with PBE was carried out for an optimized crystal structure of CaErInAu.

Results
Calculated density: 8.44 g/cm³

Unit cell a=3.6846 b=3.6846 c=7.5191 alpha=90.00 beta=90.00 gamma=90.00
Positions (direct):
Au1 0.5000 0.5000 0.5810
In1 0.5000 0.5000 0.1221
Ca1 0.0000 0.0000 0.8431
Er1 0.0000 0.0000 0.3817

Energies relative to the most stable structure, in kJ/mol of atoms: 1 6.0; 2 0.0.

1:
A plane-wave DFT calculation with PBE was carried out for an optimized crystal structure of CaErPdAu.

Results
Calculated density: 9.03 g/cm³

Unit cell a=3.8111 b=4.5177 c=5.7793 alpha=90.00 beta=109.25 gamma=90.00
Positions (direct):
Au1 0.5816 0.5000 0.1632
Er1 0.8641 0.5000 0.7283
Pd1 0.4120 0.0000 0.8240
Ca1 0.1423 0.0000 0.2845

2:
A plane-wave DFT calculation with PBE was carried out for an optimized crystal structure of CaErPdAu.

Results
Calculated density: 9.56 g/cm³

Unit cell a=5.0059 b=5.0059 c=5.0059 alpha=60.00 beta=60.00 gamma=60.00
Positions (direct):
Er1 0.2500 0.2500 0.2500
Au1 0.0000 0.0000 0.0000
Pd1 0.5000 0.5000 0.5000
Ca1 0.7500 0.7500 0.7500

Energies relative to the most stable structure, in kJ/mol of atoms: 1 0.0; 2 2.2.

1:
A plane-wave DFT calculation with PBE was carried out for an optimized crystal structure of CaErTlAu.

Results
Calculated density: 9.80 g/cm³

Unit cell a=3.7038 b=3.7038 c=7.5181 alpha=90.00 beta=90.00 gamma=90.00
Positions (direct):
Ca1 0.5000 0.5000 0.1209
Au1 0.0000 0.0000 0.3823
Er1 0.5000 0.5000 0.5806
Tl1 0.0000 0.0000 0.8442

2:
A plane-wave DFT calculation with PBE was carried out for an optimized crystal structure of CaErTlAu.

Results
Calculated density: 9.97 g/cm³

Unit cell a=5.2341 b=5.2341 c=5.2341 alpha=60.00 beta=60.00 gamma=60.00
Positions (direct):
Tl1 0.5000 0.5000 0.5000
Au1 0.0000 0.0000 0.0000
Ca1 0.2500 0.2500 0.2500
Er1 0.7500 0.7500 0.7500

Energies relative to the most stable structure, in kJ/mol of atoms: 1 0.0; 2 5.6.

1:
A plane-wave DFT calculation with PBE was carried out for an optimized crystal structure of CaErZnAu.

Results
Calculated density: 8.45 g/cm³

Unit cell a=5.0720 b=5.0720 c=5.0720 alpha=60.00 beta=60.00 gamma=60.00
Positions (direct):
Ca1 0.2500 0.2500 0.2500
Er1 0.7500 0.7500 0.7500
Zn1 0.5000 0.5000 0.5000
Au1 0.0000 0.0000 0.0000

2:
A plane-wave DFT calculation with PBE was carried out for an optimized crystal structure of CaErZnAu.

Results
Calculated density: 8.31 g/cm³

Unit cell a=3.6183 b=3.6183 c=7.1659 alpha=90.00 beta=90.00 gamma=90.00
Positions (direct):
Er1 0.5000 0.5000 0.6101
Zn1 0.0000 0.0000 0.3779
Au1 0.0000 0.0000 0.8322
Ca1 0.5000 0.5000 0.1078

Energies relative to the most stable structure, in kJ/mol of atoms: 1 2.3; 2 0.0.

1:
A plane-wave DFT calculation with PBE was carried out for an optimized crystal structure of CaAu2F.

Results
Calculated density: 9.37 g/cm³

Unit cell a=4.8423 b=4.8423 c=4.8423 alpha=60.00 beta=60.00 gamma=60.00
Positions (direct):
Ca1 0.5000 0.5000 0.5000
Au1 0.7500 0.7500 0.7500
F1 0.0000 0.0000 0.0000
Au2 0.2500 0.2500 0.2500

2:
A plane-wave DFT calculation with PBE was carried out for an optimized crystal structure of CaAu2F.

Results
Calculated density: 8.60 g/cm³

Unit cell a=8.3504 b=8.3504 c=6.4151 alpha=49.39 beta=49.39 gamma=90.00
Positions (direct):
Ca1 0.7500 0.2500 0.5000
F1 0.5000 0.5000 0.0000
Au1 0.5966 0.1250 0.2500
Au2 0.3750 0.4034 0.7500
F2 0.2500 0.7500 0.5000
Au3 0.1534 0.6250 0.2500
Au4 0.8750 0.8466 0.7500
Ca2 0.0000 0.0000 0.0000

Energies relative to the most stable structure, in kJ/mol of atoms: 1 50.0; 2 0.0.

1:
A plane-wave DFT calculation with PBE was carried out for an optimized crystal structure of CaAuF3.

Results
Calculated density: 5.13 g/cm³

Unit cell a=4.5652 b=4.5652 c=4.5652 alpha=90.00 beta=90.00 gamma=90.00
Positions (direct):
F1 0.0000 0.0000 0.5000
F2 0.0000 0.5000 0.0000
Ca1 0.5000 0.5000 0.5000
Au1 0.0000 0.0000 0.0000
F3 0.5000 0.0000 0.0000

2:
A plane-wave DFT calculation with PBE was carried out for an optimized crystal structure of CaAuF3.

Results
Calculated density: 5.68 g/cm³

Unit cell a=4.4132 b=4.4132 c=4.4132 alpha=90.00 beta=90.00 gamma=90.00
Positions (direct):
F1 0.0000 0.5000 0.0000
F2 0.5000 0.0000 0.0000
Ca1 0.0000 0.0000 0.0000
F3 0.0000 0.0000 0.5000
Au1 0.5000 0.5000 0.5000

Energies relative to the most stable structure, in kJ/mol of atoms: 1 59.6; 2 0.0.

1:
A plane-wave DFT calculation with PBE was carried out for an optimized crystal structure of CaAuNF2.

Results
Calculated density: 5.69 g/cm³

Unit cell a=4.6847 b=4.6847 c=3.8424 alpha=90.00 beta=90.00 gamma=90.00
Positions (direct):
F1 0.0000 0.5000 0.0000
Ca1 0.5000 0.5000 0.5000
Au1 0.0000 0.0000 0.0000
F2 0.5000 0.0000 0.0000
N1 0.0000 0.0000 0.5000

2:
A plane-wave DFT calculation with PBE was carried out for an optimized crystal structure of CaAuNF2.

Results
Calculated density: 4.96 g/cm³

Unit cell a=4.2069 b=4.2069 c=5.4680 alpha=90.00 beta=90.00 gamma=90.00
Positions (direct):
N1 0.0000 0.0000 0.5000
F1 0.5000 0.0000 0.0000
F2 0.0000 0.5000 0.0000
Ca1 0.0000 0.0000 0.0000
Au1 0.5000 0.5000 0.5000

Energies relative to the most stable structure, in kJ/mol of atoms: 1 0.0; 2 2.8.

1:
A plane-wave DFT calculation with PBE was carried out for an optimized crystal structure of CaTlAuSeNF.

Results
Calculated density: 6.84 g/cm³

Unit cell a=4.5200 b=5.5984 c=5.8680 alpha=64.76 beta=89.85 gamma=89.67
Positions (direct):
Ca1 0.6450 0.7895 0.0970
Au1 0.6501 0.3454 0.6541
Se1 0.6666 0.9947 0.5024
Tl1 0.1498 0.3489 0.0330
F1 0.1458 0.7803 0.1298
N1 0.6518 0.6387 0.7836

2:
A plane-wave DFT calculation with PBE was carried out for an optimized crystal structure of CaTlAuSeNF.

Results
Calculated density: 6.83 g/cm³

Unit cell a=3.3565 b=6.1382 c=7.1301 alpha=69.20 beta=79.26 gamma=89.80
Positions (direct):
Tl1 0.5982 0.3910 0.1791
Se1 0.9519 0.9071 0.5344
F1 0.7493 0.8384 0.0430
N1 0.8377 0.3633 0.8339
Ca1 0.3197 0.0590 0.8605
Au1 0.3868 0.5952 0.7015

Energies relative to the most stable structure, in kJ/mol of atoms: 1 2.5; 2 0.0.